Entry 1:
## Ho2H2IBrO2 (PBE-GGA)

Data for a relaxed structure of Ho2H2IBrO2.

Results
Calculated total energy, eV for the cell shown: -40.91

Unit cell a=3.9463 b=3.9463 c=10.5603 alpha=90.00 beta=90.00 gamma=120.00
Last column: nearest neighbours and their distance in Å.
Space group P3m1 (No. 156)
Inequivalent atoms, fractional coordinates:
Ho 0.0000 0.0000 0.0000 (multiplicity 1)  3 O 2.34
Ho 0.3333 0.6667 0.4852 (multiplicity 1)  3 O 2.37
H 0.6667 0.3333 0.3312 (multiplicity 1)  1 O 0.98
H 0.6667 0.3333 0.8577 (multiplicity 1)  1 O 0.99
I 0.0000 0.0000 0.6888 (multiplicity 1)  3 H 2.89, 3 Ho 3.13
Br 0.3333 0.6667 0.1872 (multiplicity 1)  3 H 2.74, 3 Ho 3.02
O 0.6667 0.3333 0.4239 (multiplicity 1)  1 H 0.98
O 0.6667 0.3333 0.9510 (multiplicity 1)  1 H 0.99

Entry 2:
## BaSmTe (PBE-GGA)

Data for a relaxed structure of BaSmTe.

Results
Calculated total energy, eV for the cell shown: -46.24
Energy relative to the lowest polymorph listed for this composition, meV per atom: 0

Unit cell a=7.7329 b=7.7329 c=7.7329 alpha=90.00 beta=90.00 gamma=90.00
Last column: nearest neighbours and their distance in Å.
Space group F-43m (No. 216)
Inequivalent atoms, fractional coordinates:
Ba 0.0000 0.0000 0.0000 (multiplicity 4)  4 Te 3.35
Sm 0.0000 0.0000 0.5000 (multiplicity 4)  4 Te 3.35
Te 0.2500 0.2500 0.2500 (multiplicity 4)  4 Ba 3.35, 4 Sm 3.35

Entry 3:
## LiSi5Au3 (PBE-GGA)

Data for a relaxed structure of LiSi5Au3.

Results
Calculated total energy, eV for the cell shown: -35.40

Unit cell a=6.4276 b=6.4276 c=5.5574 alpha=90.00 beta=90.00 gamma=120.00
Last column: nearest neighbours and their distance in Å.
Space group P6/mmm (No. 191)
Inequivalent atoms, fractional coordinates:
Li 0.0000 0.0000 0.0000 (multiplicity 1)  2 Si 2.78
Si 0.0000 0.0000 0.5000 (multiplicity 1)  2 Li 2.78
Si 0.3333 0.6667 0.2078 (multiplicity 4)  1 Si 2.31, 3 Au 2.47
Au 0.0000 0.5000 0.5000 (multiplicity 3)  4 Si 2.47

Entry 4:
## HfBeInIr (PBE-GGA)

Data for a relaxed structure of HfBeInIr.

Results
Calculated total energy, eV for the cell shown: -106.17
Energy relative to the lowest polymorph listed for this composition, meV per atom: 0

Unit cell a=6.3979 b=6.3979 c=6.3979 alpha=90.00 beta=90.00 gamma=90.00
Last column: nearest neighbours and their distance in Å.
Space group F-43m (No. 216)
Inequivalent atoms, fractional coordinates:
Hf 0.0000 0.0000 0.0000 (multiplicity 4)  4 Ir 2.77, 4 Be 2.77
Be 0.2500 0.2500 0.7500 (multiplicity 4)  4 Hf 2.77, 4 In 2.77
In 0.0000 0.0000 0.5000 (multiplicity 4)  4 Be 2.77, 4 Ir 2.77
Ir 0.2500 0.2500 0.2500 (multiplicity 4)  4 Hf 2.77, 4 In 2.77

Entry 5:
## ZnFeAgSn (PBE-GGA)

Data for a relaxed structure of ZnFeAgSn.

Results
Calculated total energy, eV for the cell shown: -62.02
Energy relative to the lowest polymorph listed for this composition, meV per atom: 0

Unit cell a=6.4434 b=6.4434 c=6.4434 alpha=90.00 beta=90.00 gamma=90.00
Last column: nearest neighbours and their distance in Å.
Space group F-43m (No. 216)
Inequivalent atoms, fractional coordinates:
Zn 0.0000 0.0000 0.0000 (multiplicity 4)  4 Fe 2.79, 4 Ag 2.79
Fe 0.2500 0.2500 0.7500 (multiplicity 4)  4 Sn 2.79, 4 Zn 2.79
Ag 0.2500 0.2500 0.2500 (multiplicity 4)  4 Sn 2.79, 4 Zn 2.79
Sn 0.0000 0.0000 0.5000 (multiplicity 4)  4 Ag 2.79, 4 Fe 2.79

Entry 6:
## TbTlCdSe3 (PBE-GGA)

Data for a relaxed structure of TbTlCdSe3.

Results
Calculated total energy, eV for the cell shown: -49.60
Energy relative to the lowest polymorph listed for this composition, meV per atom: 0

Unit cell a=8.6702 b=4.2764 c=10.1500 alpha=90.00 beta=106.02 gamma=90.00
Last column: nearest neighbours and their distance in Å.
Space group P2_1/m (No. 11)
Inequivalent atoms, fractional coordinates:
Tb 0.1746 0.2500 0.1364 (multiplicity 2)  6 Se 2.83-3.07
Tl 0.2865 0.7500 0.7740 (multiplicity 2)  5 Se 3.23-3.41
Cd 0.4182 0.7500 0.3875 (multiplicity 2)  4 Se 2.65-2.79
Se 0.0438 0.2500 0.8479 (multiplicity 2)  3 Tb 2.83-2.89
Se 0.2645 0.2500 0.4512 (multiplicity 2)  3 Cd 2.69-2.79
Se 0.3975 0.7500 0.1224 (multiplicity 2)  1 Cd 2.65, 2 Tb 2.91

Entry 7:
## CsAlCdS3 (PBE-GGA)

Data for a relaxed structure of CsAlCdS3.

Results
Calculated total energy, eV for the cell shown: -47.07
Energy relative to the lowest polymorph listed for this composition, meV per atom: 0

Unit cell a=8.1512 b=3.6606 c=11.4741 alpha=90.00 beta=106.84 gamma=90.00
Last column: nearest neighbours and their distance in Å.
Space group P2_1/m (No. 11)
Inequivalent atoms, fractional coordinates:
Cs 0.0068 0.2500 0.2932 (multiplicity 2)  7 S 3.54-3.61, 2 Cs 3.66
Al 0.4401 0.2500 0.0975 (multiplicity 2)  5 S 2.29-2.50
Cd 0.4918 0.7500 0.3794 (multiplicity 2)  4 S 2.54-2.69
S 0.2910 0.7500 0.1616 (multiplicity 2)  2 Al 2.43, 1 Cd 2.56
S 0.2933 0.7500 0.5302 (multiplicity 2)  3 Cd 2.54-2.69
S 0.3456 0.2500 0.8892 (multiplicity 2)  3 Al 2.29-2.50

Entry 8:
## CdAgSb2 (PBE-GGA)

Data for a relaxed structure of CdAgSb2.

Results
Calculated total energy, eV for the cell shown: -44.32

Unit cell a=7.3150 b=7.3150 c=7.3150 alpha=90.00 beta=90.00 gamma=90.00
Last column: nearest neighbours and their distance in Å.
Space group F-43m (No. 216)
Inequivalent atoms, fractional coordinates:
Cd 0.0000 0.0000 0.0000 (multiplicity 4)  4 Ag 3.17, 4 Sb 3.17
Ag 0.2500 0.2500 0.7500 (multiplicity 4)  4 Sb 3.17, 4 Cd 3.17
Sb 0.0000 0.0000 0.5000 (multiplicity 4)  4 Sb 3.17, 4 Ag 3.17
Sb 0.2500 0.2500 0.2500 (multiplicity 4)  4 Cd 3.17, 4 Sb 3.17

Entry 9:
## Cs2NdErSe4 (PBE-GGA)

Data for a relaxed structure of Cs2NdErSe4.

Results
Calculated total energy, eV for the cell shown: -38.72

Unit cell a=4.3087 b=4.3087 c=16.7209 alpha=90.00 beta=90.00 gamma=120.00
Last column: nearest neighbours and their distance in Å.
Space group P-3m1 (No. 164)
Inequivalent atoms, fractional coordinates:
Cs 0.3333 0.6667 0.2537 (multiplicity 2)  6 Se 3.60-3.61
Nd 0.0000 0.0000 0.0000 (multiplicity 1)  6 Se 2.98
Er 0.0000 0.0000 0.5000 (multiplicity 1)  6 Se 2.91
Se 0.3333 0.6667 0.5900 (multiplicity 2)  3 Er 2.91
Se 0.3333 0.6667 0.9020 (multiplicity 2)  3 Nd 2.98

Entry 10:
## TaBi2 (PBE-GGA)

Data for a relaxed structure of TaBi2.

Results
Calculated total energy, eV for the cell shown: -76.66

Unit cell a=7.1199 b=7.1199 c=5.8878 alpha=90.00 beta=90.00 gamma=90.00
Last column: nearest neighbours and their distance in Å.
Space group I4/mcm (No. 140)
Inequivalent atoms, fractional coordinates:
Ta 0.0000 0.0000 0.2500 (multiplicity 4)  2 Ta 2.94, 8 Bi 3.07
Bi 0.1553 0.3447 0.0000 (multiplicity 8)  4 Ta 3.07, 1 Bi 3.13

Entry 11:
## NdNi2GeP (PBE-GGA)

Data for a relaxed structure of NdNi2GeP.

Results
Calculated total energy, eV for the cell shown: -60.49
Energy relative to the lowest polymorph listed for this composition, meV per atom: 24

Unit cell a=4.0394 b=4.0394 c=9.7417 alpha=90.00 beta=90.00 gamma=90.00
Last column: nearest neighbours and their distance in Å.
Space group I4mm (No. 107)
Inequivalent atoms, fractional coordinates:
Nd 0.0000 0.0000 0.0000 (multiplicity 2)  8 Ni 3.10-3.23, 4 Ge 3.12, 4 P 3.13
Ni 0.0000 0.5000 0.2583 (multiplicity 4)  2 P 2.29, 2 Ge 2.38
Ge 0.0000 0.0000 0.6286 (multiplicity 2)  4 Ni 2.38, 1 P 2.54
P 0.0000 0.0000 0.3681 (multiplicity 2)  4 Ni 2.29, 1 Ge 2.54

Entry 12:
## BeTlGeIr (PBE-GGA)

Data for a relaxed structure of BeTlGeIr.

Results
Calculated total energy, eV for the cell shown: -69.30
Energy relative to the lowest polymorph listed for this composition, meV per atom: 0

Unit cell a=6.4174 b=6.4174 c=6.4174 alpha=90.00 beta=90.00 gamma=90.00
Last column: nearest neighbours and their distance in Å.
Space group F-43m (No. 216)
Inequivalent atoms, fractional coordinates:
Be 0.0000 0.0000 0.0000 (multiplicity 4)  4 Tl 2.78, 4 Ir 2.78
Tl 0.2500 0.2500 0.2500 (multiplicity 4)  4 Ge 2.78, 4 Be 2.78
Ge 0.0000 0.0000 0.5000 (multiplicity 4)  4 Ir 2.78, 4 Tl 2.78
Ir 0.2500 0.2500 0.7500 (multiplicity 4)  4 Be 2.78, 4 Ge 2.78

Entry 13:
## AcTmBe (PBE-GGA)

Data for a relaxed structure of AcTmBe.

Results
Calculated total energy, eV for the cell shown: -44.89
Energy relative to the lowest polymorph listed for this composition, meV per atom: 0

Unit cell a=7.0692 b=7.0692 c=7.0692 alpha=90.00 beta=90.00 gamma=90.00
Last column: nearest neighbours and their distance in Å.
Space group F-43m (No. 216)
Inequivalent atoms, fractional coordinates:
Ac 0.0000 0.0000 0.0000 (multiplicity 4)  4 Be 3.06
Tm 0.0000 0.0000 0.5000 (multiplicity 4)  4 Be 3.06
Be 0.2500 0.2500 0.2500 (multiplicity 4)  4 Ac 3.06, 4 Tm 3.06

Entry 14:
## K3RbAs2Pd2 (PBE-GGA)

Data for a relaxed structure of K3RbAs2Pd2.

Results
Calculated total energy, eV for the cell shown: -27.03

Unit cell a=6.3684 b=5.9281 c=6.4302 alpha=90.00 beta=105.08 gamma=90.00
Last column: nearest neighbours and their distance in Å.
Space group Pm (No. 6)
Inequivalent atoms, fractional coordinates:
K 0.0000 0.0000 0.0000 (multiplicity 1)  3 K 3.48-3.78, 4 As 3.49-3.55, 4 Pd 3.59-3.71, 2 Rb 3.71
K 0.2985 0.5000 0.3027 (multiplicity 1)  4 As 3.42-3.56, 1 Rb 3.50, 4 Pd 3.64-3.76, 4 K 3.70-3.78
K 0.6549 0.0000 0.3395 (multiplicity 1)  4 As 3.37-3.59, 2 Pd 3.47, 3 K 3.48-3.70
Rb 0.9495 0.5000 0.6434 (multiplicity 1)  4 As 3.43-3.58, 5 K 3.50-3.77, 2 Pd 3.54
As 0.2335 0.0000 0.5652 (multiplicity 1)  2 Pd 2.46
As 0.7263 0.5000 0.0740 (multiplicity 1)  2 Pd 2.45
Pd 0.4679 0.2465 0.8359 (multiplicity 2)  2 As 2.45-2.46

Entry 15:
## Tb2ErZn3InGa2 (PBE-GGA)

Data for a relaxed structure of Tb2ErZn3InGa2.

Results
Calculated total energy, eV for the cell shown: -62.03

Unit cell a=4.3894 b=12.1751 c=7.0554 alpha=90.00 beta=90.00 gamma=90.00
Last column: nearest neighbours and their distance in Å.
Space group Amm2 (No. 38)
Inequivalent atoms, fractional coordinates:
Tb 0.0000 0.2210 0.0000 (multiplicity 4)  4 Ga 3.02-3.03, 2 Zn 3.06, 1 In 3.12
Er 0.0000 0.0000 0.3358 (multiplicity 2)  4 Ga 3.01, 2 Zn 3.06, 1 In 3.11
Zn 0.5000 0.0000 0.0327 (multiplicity 2)  2 Ga 2.66, 2 In 2.84
Zn 0.5000 0.1269 0.6513 (multiplicity 4)  2 Ga 2.67-2.68, 2 In 2.82
In 0.0000 0.0000 0.7761 (multiplicity 2)  6 Zn 2.82-2.84, 1 Er 3.11, 2 Tb 3.12
Ga 0.5000 0.1654 0.2786 (multiplicity 4)  3 Zn 2.66-2.68

Entry 16:
## RbGaTe3Pd (PBE-GGA)

Data for a relaxed structure of RbGaTe3Pd.

Results
Calculated total energy, eV for the cell shown: -42.26

Unit cell a=9.4095 b=4.5166 c=10.1437 alpha=90.00 beta=105.67 gamma=90.00
Last column: nearest neighbours and their distance in Å.
Space group P2_1/m (No. 11)
Inequivalent atoms, fractional coordinates:
Rb 0.2016 0.2500 0.2668 (multiplicity 2)  7 Te 3.71-4.08, 3 Pd 3.86-3.89
Ga 0.3426 0.7500 0.8861 (multiplicity 2)  4 Te 2.68-2.95
Te 0.1344 0.2500 0.8604 (multiplicity 2)  1 Pd 2.63
Te 0.2049 0.7500 0.6023 (multiplicity 2)  3 Pd 2.65-2.69, 1 Ga 2.82
Te 0.4617 0.7500 0.1583 (multiplicity 2)  1 Ga 2.68
Pd 0.0545 0.2500 0.5907 (multiplicity 2)  4 Te 2.63-2.69, 2 Pd 2.92

Entry 17:
## SnHg2S2Br2 (PBE-GGA)

Data for a relaxed structure of SnHg2S2Br2.

Results
Calculated total energy, eV for the cell shown: -76.32
Energy relative to the lowest polymorph listed for this composition, meV per atom: 0

Unit cell a=9.7245 b=8.1898 c=12.9102 alpha=90.00 beta=123.11 gamma=90.00
Last column: nearest neighbours and their distance in Å.
Space group P2_1/c (No. 14)
Inequivalent atoms, fractional coordinates:
Sn 0.1420 0.0847 0.4258 (multiplicity 4)  3 Br 2.85-2.96, 2 S 3.02-3.15
Hg 0.2507 0.5480 0.6223 (multiplicity 4)  2 S 2.39-2.40
Hg 0.4123 0.6846 0.3746 (multiplicity 4)  2 S 2.40-2.41
S 0.1565 0.6798 0.7379 (multiplicity 4)  2 Hg 2.39-2.40
S 0.3110 0.0877 0.9870 (multiplicity 4)  2 Hg 2.40-2.41
Br 0.0934 0.1768 0.6166 (multiplicity 4)  2 Sn 2.85-2.96
Br 0.4226 0.5972 0.1087 (multiplicity 4)  1 Sn 2.86

Entry 18:
## Nd2ErSn3PdPt2 (PBE-GGA)

Data for a relaxed structure of Nd2ErSn3PdPt2.

Results
Calculated total energy, eV for the cell shown: -105.15

Unit cell a=4.0817 b=13.1428 c=7.6077 alpha=90.00 beta=90.00 gamma=90.00
Last column: nearest neighbours and their distance in Å.
Space group Amm2 (No. 38)
Inequivalent atoms, fractional coordinates:
Nd 0.0000 0.2059 0.0000 (multiplicity 4)  4 Pt 3.10, 1 Pd 3.15, 6 Sn 3.26-3.43
Er 0.0000 0.0000 0.3847 (multiplicity 2)  4 Pt 3.01, 1 Pd 3.06, 2 Sn 3.27
Sn 0.5000 0.0000 0.0483 (multiplicity 2)  2 Pt 2.84, 2 Pd 2.85
Sn 0.5000 0.1262 0.6646 (multiplicity 4)  2 Pd 2.79, 2 Pt 2.83-2.98
Pd 0.0000 0.0000 0.7875 (multiplicity 2)  6 Sn 2.79-2.85, 1 Er 3.06
Pt 0.5000 0.1607 0.2970 (multiplicity 4)  3 Sn 2.83-2.98, 2 Er 3.01, 4 Nd 3.10

Entry 19:
## Pd7Au (PBE-GGA)

Data for a relaxed structure of Pd7Au.

Results
Calculated total energy, eV for the cell shown: -158.69
E_form, meV per atom: -22

Unit cell a=7.9043 b=7.9043 c=7.9043 alpha=90.00 beta=90.00 gamma=90.00
Last column: nearest neighbours and their distance in Å.
Space group Fm-3m (No. 225)
Inequivalent atoms, fractional coordinates:
Pd 0.0000 0.0000 0.0000 (multiplicity 4)  12 Pd 2.79
Pd 0.0000 0.2500 0.2500 (multiplicity 24)  10 Pd 2.79, 2 Au 2.79
Au 0.0000 0.0000 0.5000 (multiplicity 4)  12 Pd 2.79

Entry 20:
## GdUW (PBE-GGA)

Data for a relaxed structure of GdUW.

Results
Calculated total energy, eV for the cell shown: -98.41
E_form, meV per atom: 1436

Unit cell a=6.6498 b=6.6498 c=6.6498 alpha=90.00 beta=90.00 gamma=90.00
Last column: nearest neighbours and their distance in Å.
Space group F-43m (No. 216)
Inequivalent atoms, fractional coordinates:
Gd 0.0000 0.0000 0.0000 (multiplicity 4)  4 U 2.88
U 0.2500 0.2500 0.2500 (multiplicity 4)  4 Gd 2.88, 4 W 2.88
W 0.0000 0.0000 0.5000 (multiplicity 4)  4 U 2.88